Entry 1:
# Tb3PmYTh, optimized geometry, DFT PBE
# **Total DFT energy (no corrections)**: -32.34 eV per formula unit
# **ρ**: 8.0 g/cm³
data_Tb3PmYTh
_chemical_formula_sum 'Tb6 Pm2 Y2 Th2'
_cell_length_a 7.982
_cell_length_b 5.081
_cell_length_c 10.164
_cell_angle_alpha 90.00
_cell_angle_beta 108.60
_cell_angle_gamma 90.00
_symmetry_space_group_name_H-M 'P 1 21/m 1'
_symmetry_Int_Tables_number 11
_symmetry_space_group_name_Hall '-P 2yb'
loop_
_atom_site_label
_atom_site_type_symbol
_atom_site_fract_x
_atom_site_fract_y
_atom_site_fract_z
Tb1 Tb 0.167 0.250 0.043
Tb2 Tb 0.168 0.750 0.790
Tb3 Tb 0.175 0.250 0.543
Pm1 Pm 0.500 0.250 0.871
Y1 Y 0.173 0.750 0.294
Th1 Th 0.500 0.250 0.378

Entry 2:
# NiBiSe, optimized geometry, DFT PBE
# **ΔE_f (raw)**: -22.6 kJ per mole of atoms
# **Total DFT energy (no corrections)**: -13.85 eV per formula unit
# **ρ**: 9.4 g/cm³
data_NiBiSe
_chemical_formula_sum 'Ni4 Bi4 Se4'
_cell_length_a 6.253
_cell_length_b 6.253
_cell_length_c 6.253
_cell_angle_alpha 90.00
_cell_angle_beta 90.00
_cell_angle_gamma 90.00
_symmetry_space_group_name_H-M 'P 21 3'
_symmetry_Int_Tables_number 198
_symmetry_space_group_name_Hall 'P 2ac 2ab 3'
loop_
_atom_site_label
_atom_site_type_symbol
_atom_site_fract_x
_atom_site_fract_y
_atom_site_fract_z
Ni1 Ni 0.020 0.480 0.520
Bi1 Bi 0.137 0.863 0.363
Se1 Se 0.125 0.625 0.875

Entry 3:
# AgW2, optimized geometry, DFT PBE
# **Total DFT energy (no corrections)**: -26.95 eV per formula unit
# **ρ**: 15.9 g/cm³
data_AgW2
_chemical_formula_sum 'Ag4 W8'
_cell_length_a 2.649
_cell_length_b 15.688
_cell_length_c 4.768
_cell_angle_alpha 90.00
_cell_angle_beta 90.00
_cell_angle_gamma 90.00
_symmetry_space_group_name_H-M 'C m c m'
_symmetry_Int_Tables_number 63
_symmetry_space_group_name_Hall '-C 2c 2'
loop_
_atom_site_label
_atom_site_type_symbol
_atom_site_fract_x
_atom_site_fract_y
_atom_site_fract_z
Ag1 Ag 0.000 0.117 0.250
W1 W 0.000 0.214 0.750
W2 W 0.000 0.453 0.250

Entry 4:
# LaGd2Fe, optimized geometry, DFT PBE
# **Total DFT energy (no corrections)**: -40.51 eV per formula unit
# **ρ**: 7.2 g/cm³
data_LaGd2Fe
_chemical_formula_sum 'La3 Gd6 Fe3'
_cell_length_a 3.5659
_cell_length_b 3.5659
_cell_length_c 31.8506
_cell_angle_alpha 90.00
_cell_angle_beta 90.00
_cell_angle_gamma 120.00
_symmetry_space_group_name_H-M 'R -3 m'
_symmetry_Int_Tables_number 166
_symmetry_space_group_name_Hall '-R 3 2"'
loop_
_atom_site_label
_atom_site_type_symbol
_atom_site_fract_x
_atom_site_fract_y
_atom_site_fract_z
La1 La 0.0000 0.0000 0.0000
Gd1 Gd 0.0000 0.0000 0.1097
Fe1 Fe 0.0000 0.0000 0.5000

Entry 5:
# SnB3N3, optimized geometry, DFT PBE
# **ΔE_f (raw)**: 53.4 kJ per mole of atoms
# **Total DFT energy (no corrections)**: -45.14 eV per formula unit
# **ρ**: 5.6 g/cm³
data_SnB3N3
_chemical_formula_sum 'Sn2 B6 N6'
_cell_length_a 4.870
_cell_length_b 4.870
_cell_length_c 4.870
_cell_angle_alpha 90.00
_cell_angle_beta 90.00
_cell_angle_gamma 90.00
_symmetry_space_group_name_H-M 'P m -3 n'
_symmetry_Int_Tables_number 223
_symmetry_space_group_name_Hall '-P 4n 2 3'
loop_
_atom_site_label
_atom_site_type_symbol
_atom_site_fract_x
_atom_site_fract_y
_atom_site_fract_z
Sn1 Sn 0.000 0.000 0.000
B1 B 0.000 0.250 0.500
N1 N 0.000 0.500 0.250

Entry 6:
# FeSnHRu2, optimized geometry, DFT PBE
# **Total DFT energy (no corrections)**: -33.99 eV per formula unit
# **ρ**: 10.1 g/cm³
data_FeSnHRu2
_chemical_formula_sum 'Fe1 Sn1 H1 Ru2'
_cell_length_a 4.087
_cell_length_b 4.087
_cell_length_c 3.717
_cell_angle_alpha 90.00
_cell_angle_beta 90.00
_cell_angle_gamma 90.00
_symmetry_space_group_name_H-M 'P 4/m m m'
_symmetry_Int_Tables_number 123
_symmetry_space_group_name_Hall '-P 4 2'
loop_
_atom_site_label
_atom_site_type_symbol
_atom_site_fract_x
_atom_site_fract_y
_atom_site_fract_z
Fe1 Fe 0.000 0.000 0.000
Sn1 Sn 0.500 0.500 0.000
H1 H 0.000 0.000 0.500
Ru1 Ru 0.000 0.500 0.500

Entry 7:
# MoWSe4, optimized geometry, DFT PBE
# **ΔE_f (raw)**: 148.8 kJ per mole of atoms
# **Total DFT energy (no corrections)**: -28.47 eV per formula unit
# **ρ**: 8.6 g/cm³
data_MoWSe4
_chemical_formula_sum 'Mo4 W4 Se16'
_cell_length_a 7.711
_cell_length_b 7.711
_cell_length_c 7.711
_cell_angle_alpha 90.00
_cell_angle_beta 90.00
_cell_angle_gamma 90.00
_symmetry_space_group_name_H-M 'F -4 3 m'
_symmetry_Int_Tables_number 216
_symmetry_space_group_name_Hall 'F -4 2 3'
loop_
_atom_site_label
_atom_site_type_symbol
_atom_site_fract_x
_atom_site_fract_y
_atom_site_fract_z
Mo1 Mo 0.000 0.000 0.000
W1 W 0.250 0.250 0.250
Se1 Se 0.125 0.125 0.625

Entry 8:
# SrNbSb2Te, optimized geometry, DFT PBE
# **ΔE_f (raw)**: -26.4 kJ per mole of atoms
# **Total DFT energy (no corrections)**: -24.51 eV per formula unit
# **ρ**: 5.6 g/cm³
data_SrNbSb2Te
_chemical_formula_sum 'Sr1 Nb1 Sb2 Te1'
_cell_length_a 5.376
_cell_length_b 5.376
_cell_length_c 5.663
_cell_angle_alpha 90.00
_cell_angle_beta 90.00
_cell_angle_gamma 90.00
_symmetry_space_group_name_H-M 'P 4/m m m'
_symmetry_Int_Tables_number 123
_symmetry_space_group_name_Hall '-P 4 2'
loop_
_atom_site_label
_atom_site_type_symbol
_atom_site_fract_x
_atom_site_fract_y
_atom_site_fract_z
Sr1 Sr 0.000 0.000 0.000
Nb1 Nb 0.500 0.500 0.500
Sb1 Sb 0.000 0.500 0.500
Te1 Te 0.500 0.500 0.000